1.
A plane-wave DFT calculation with GGA+U was carried out for crystalline NdMoBrO4 at its relaxed geometry.

Cell: 7.0710 7.5251 11.5515 Å, 108.27 107.30 90.67°
Space group P-1 (No. 2)
One atom of each set of equivalent atoms:
Nd 0.1031 0.3631 0.2302 x2
Nd 0.1389 0.1165 0.7290 x2
Mo 0.2369 0.8186 0.1355 x2
Mo 0.2720 0.5725 0.6328 x2
Br 0.2440 0.0029 0.4858 x2
Br 0.2949 0.2659 0.0150 x2
O 0.1207 0.0302 0.1909 x2
O 0.1252 0.6616 0.1958 x2
O 0.1672 0.7867 0.6994 x2
O 0.1745 0.7333 0.9650 x2
O 0.1750 0.4180 0.7005 x2
O 0.1847 0.4882 0.4615 x2
O 0.4639 0.3961 0.3151 x2
O 0.5002 0.1420 0.7934 x2

Summary:
total DFT energy (no corrections): -6.952 eV per atom
DOS at the Fermi energy: 0.000 states/eV/atom
V: 553.52 Å³/cell
magnetization: 0.00 μB/cell

---

2.
A plane-wave DFT calculation with GGA+U was carried out for crystalline NdMoBrO4 at its relaxed geometry.

Cell: 10.7692 7.5301 7.1159 Å, 90.00 106.23 90.00°
Space group C2/m (No. 12)
One atom of each set of equivalent atoms:
Nd 0.2304 0.0000 0.1209 x4
Mo 0.1365 0.5000 0.2660 x4
Br 0.0135 0.0000 0.7548 x4
O 0.0352 0.5000 0.7910 x4
O 0.1936 0.3147 0.1483 x8
O 0.2039 0.5000 0.5240 x4

Summary:
total DFT energy (no corrections): -6.953 eV per atom
DOS at the Fermi energy: 0.000 states/eV/atom
V: 554.07 Å³/cell
magnetization: 0.00 μB/cell

---

The lowest total DFT energy (no corrections) belongs to which entry? number 2